CoGe2BO6 (GGA+U, optimized geometry); DFT total energy = -0.24203 hartree per atom
1.0
5.328 0.154 0.160
1.895 6.755 -0.215
1.895 -0.465 6.743
Co Ge B O
2 4 2 12
direct
0.250 0.899 0.101 Co
0.750 0.101 0.899 Co
0.347 0.787 0.606 Ge
0.153 0.394 0.213 Ge
0.653 0.213 0.394 Ge
0.847 0.606 0.787 Ge
0.250 0.198 0.802 B
0.750 0.802 0.198 B
0.182 0.004 0.790 O
0.318 0.210 0.996 O
0.818 0.996 0.210 O
0.682 0.790 0.004 O
0.488 0.821 0.354 O
0.012 0.646 0.179 O
0.512 0.179 0.646 O
0.988 0.354 0.821 O
0.064 0.705 0.603 O
0.436 0.397 0.295 O
0.936 0.295 0.397 O
0.564 0.603 0.705 O